Record 1
Compound: LuInNiMo
Source: the Open Quantum Materials Database
Functional: GGA-PBE
Structure: optimized geometry

Energy relative to the lowest polymorph listed for this composition: 0.1980 eV/atom
DFT total energy: -5.54 eV/atom
Mass density: 9793 kg/m3

a = 6.705 Å, b = 6.705 Å, c = 6.705 Å
α = 90.00°, β = 90.00°, γ = 90.00°
Space group F-43m (No. 216)
Inequivalent atoms, fractional coordinates:
Lu  0.000  0.000  0.000 x4
In  0.250  0.250  0.250 x4
Ni  0.000  0.000  0.500 x4
Mo  0.250  0.250  0.750 x4

---

Record 2
Compound: Lu3InN2
Source: the Open Quantum Materials Database
Functional: GGA-PBE
Structure: optimized geometry

DFT total energy: -6.87 eV/atom
Mass density: 10692 kg/m3

a = 3.3914 Å, b = 3.3914 Å, c = 20.8228 Å
α = 90.00°, β = 90.00°, γ = 120.00°
Space group P6_3/mmc (No. 194)
Inequivalent atoms, fractional coordinates:
Lu  0.0000  0.0000  0.0000 x2
Lu  0.3333  0.6667  0.1264 x4
In  0.0000  0.0000  0.2500 x2
N  0.3333  0.6667  0.5676 x4

---

Which value of mass density does entry 1 give? 9793 kg/m3

---

What is the DFT total energy in the first record? -5.54 eV/atom